Record 1
First-principles (GGA-PBE) data for a geometry-optimized CsSn3Sb3 structure, as listed in Alexandria.

The structure belongs to space group P6_3/m (No. 176); the cell edges are 10.4920, 10.4920 and 6.1126 Å and the angles 90.00°, 90.00° and 120.00°. The distinct sites, in fractional coordinates, are Cs at (0.3333, 0.6667, 0.2500), Sn at (0.0176, 0.2672, 0.2500) and Sb at (0.0278, 0.3108, 0.7500).

Its uncorrected formation energy is -0.0076 eV/atom.

=====

Record 2
First-principles (GGA-PBE) data for a geometry-optimized Mn2AlTl structure, as listed in Alexandria.

The structure belongs to space group Cmmm (No. 65); the cell edges are 5.6638, 7.8238 and 2.8986 Å and the angles 90.00°, 90.00° and 90.00°. The distinct sites, in fractional coordinates, are Mn at (0.2500, 0.2500, 0.0000), Al at (0.0000, 0.0000, 0.5000) and Tl at (0.0000, 0.5000, 0.5000).

The formation energy comes out at 294.8 meV/atom.

=====

Record 3
First-principles (GGA-PBE) data for a geometry-optimized La2IrPt2 structure, as listed in Alexandria.

The structure belongs to space group I4/mmm (No. 139); the cell edges are 3.7971, 3.7971 and 16.2481 Å and the angles 90.00°, 90.00° and 90.00°. The distinct sites, in fractional coordinates, are La at (0.0000, 0.0000, 0.1035), Ir at (0.0000, 0.0000, 0.5000) and Pt at (0.0000, 0.5000, 0.2500).

The formation energy comes out at -709.8 meV/atom.

=====

Number 1: polymorph energy (0 for the lowest one) 0.040 eV per atom. Number 2: polymorph energy (0 for the lowest one) 0.078 eV per atom. Number 3: polymorph energy (0 for the lowest one) 0.101 eV per atom.